VASP calculation (PBE-GGA) on a relaxed HfTiSb crystal.

Properties
V in Å³ per atom: 20.3
Crystal system: tetragonal
Formation energy from raw total energies in eV per atom: -0.50
M_tot in μB/f.u.: 0.000
N(E_F) in states/eV/f.u.: 2.756

a = 3.9247 Å, b = 3.9247 Å, c = 7.8988 Å
α = 90.00°, β = 90.00°, γ = 90.00°
Closest atoms and distances in Å follow each position.
Positions (direct):
Hf: 0.0000 0.5000 0.8707  5 Sb 2.92-2.95
Hf: 0.5000 0.0000 0.1293  5 Sb 2.92-2.95
Ti: 0.5000 0.5000 0.5000  4 Ti 2.78, 4 Sb 2.82
Ti: 0.0000 0.0000 0.5000  4 Ti 2.78, 4 Sb 2.82
Sb: 0.0000 0.5000 0.2440  4 Ti 2.82, 5 Hf 2.92-2.95
Sb: 0.5000 0.0000 0.7560  4 Ti 2.82, 5 Hf 2.92-2.95


VASP calculation (PBE-GGA) on a relaxed Hf3Ti5Sb2 crystal.

Properties
V in Å³ per atom: 20.9
Crystal system: orthorhombic
Formation energy from raw total energies in eV per atom: -0.05
M_tot in μB/f.u.: 0.000
N(E_F) in states/eV/f.u.: 9.596

a = 5.5067 Å, b = 9.3635 Å, c = 9.3635 Å
α = 67.84°, β = 72.90°, γ = 72.90°
Closest atoms and distances in Å follow each position.
Positions (direct):
Hf: 0.2500 0.0000 0.0000  2 Hf 2.75, 2 Ti 2.85, 4 Sb 2.96
Hf: 0.7500 0.0000 0.0000  2 Hf 2.75, 2 Ti 2.85, 4 Sb 2.96
Hf: 0.3169 0.4563 0.9099  3 Ti 2.91-3.18, 3 Sb 3.08-3.15
Hf: 0.6831 0.5437 0.0901  3 Ti 2.91-3.18, 3 Sb 3.08-3.15
Hf: 0.8169 0.9099 0.4563  3 Ti 2.91-3.18, 3 Sb 3.08-3.15
Hf: 0.1831 0.0901 0.5437  3 Ti 2.91-3.18, 3 Sb 3.08-3.15
Ti: 0.2500 0.5000 0.5000  6 Ti 2.70-2.75
Ti: 0.7500 0.5000 0.5000  6 Ti 2.70-2.75
Ti: 0.4461 0.8039 0.8039  4 Ti 2.60-2.75, 1 Hf 2.85
Ti: 0.0539 0.1961 0.1961  4 Ti 2.60-2.75, 1 Hf 2.85
Ti: 0.5539 0.1961 0.1961  4 Ti 2.60-2.75, 1 Hf 2.85
Ti: 0.9461 0.8039 0.8039  4 Ti 2.60-2.75, 1 Hf 2.85
Ti: 0.1560 0.3926 0.2953  4 Ti 2.60-2.70, 1 Sb 2.66, 1 Hf 2.91
Ti: 0.8440 0.6074 0.7047  4 Ti 2.60-2.70, 1 Sb 2.66, 1 Hf 2.91
Ti: 0.6560 0.2953 0.3926  4 Ti 2.60-2.70, 1 Sb 2.66, 1 Hf 2.91
Ti: 0.3440 0.7047 0.6074  4 Ti 2.60-2.70, 1 Sb 2.66, 1 Hf 2.91
Sb: 0.1005 0.6910 0.1080  3 Ti 2.66-2.93, 2 Hf 2.96
Sb: 0.8995 0.3090 0.8920  3 Ti 2.66-2.93, 2 Hf 2.96
Sb: 0.6005 0.1080 0.6910  3 Ti 2.66-2.93, 2 Hf 2.96
Sb: 0.3995 0.8920 0.3090  3 Ti 2.66-2.93, 2 Hf 2.96


VASP calculation (PBE-GGA) on a relaxed Hf3TiSb4 crystal.

Properties
V in Å³ per atom: 29.3
Crystal system: orthorhombic
Formation energy from raw total energies in eV per atom: -0.07
M_tot in μB/f.u.: 0.058
N(E_F) in states/eV/f.u.: 7.514

a = 5.6906 Å, b = 8.3570 Å, c = 9.8433 Å
α = 90.00°, β = 90.00°, γ = 90.00°
Closest atoms and distances in Å follow each position.
Positions (direct):
Hf: 0.5891 0.8346 0.0000  5 Sb 2.82-2.88
Hf: 0.0857 0.6647 0.2454  5 Sb 2.83-2.87
Hf: 0.5857 0.3353 0.2546  5 Sb 2.83-2.87
Hf: 0.0891 0.1654 0.5000  5 Sb 2.82-2.88
Hf: 0.5857 0.3353 0.7454  5 Sb 2.83-2.87
Hf: 0.0857 0.6647 0.7546  5 Sb 2.83-2.87
Ti: 0.9942 0.1703 0.0000  5 Sb 2.74-2.95
Ti: 0.4942 0.8297 0.5000  5 Sb 2.74-2.95
Sb: 0.0839 0.8459 0.0000  1 Ti 2.76, 4 Hf 2.82-2.88
Sb: 0.5133 0.1750 0.0000  2 Ti 2.74-2.95, 3 Hf 2.87-2.88
Sb: 0.0816 0.3239 0.2435  1 Ti 2.76, 4 Hf 2.83-2.87
Sb: 0.5816 0.6761 0.2565  1 Ti 2.76, 4 Hf 2.83-2.87
Sb: 0.0133 0.8250 0.5000  2 Ti 2.74-2.95, 3 Hf 2.87-2.88
Sb: 0.5839 0.1541 0.5000  1 Ti 2.76, 4 Hf 2.82-2.88
Sb: 0.5816 0.6761 0.7435  1 Ti 2.76, 4 Hf 2.83-2.87
Sb: 0.0816 0.3239 0.7565  1 Ti 2.76, 4 Hf 2.83-2.87


VASP calculation (PBE-GGA) on a relaxed HfTi2Sb2 crystal.

Properties
V in Å³ per atom: 20.3
Crystal system: tetragonal
Formation energy from raw total energies in eV per atom: -0.41
M_tot in μB/f.u.: 0.000
N(E_F) in states/eV/f.u.: 2.348
Offset from the most stable computed form in eV/atom: 0.0000

a = 7.5838 Å, b = 7.5838 Å, c = 3.5311 Å
α = 90.00°, β = 90.00°, γ = 90.00°
Closest atoms and distances in Å follow each position.
Positions (direct):
Sb: 0.3526 0.8526 0.0000  6 Ti 2.82-2.85, 2 Hf 2.90
Sb: 0.8526 0.6474 0.0000  6 Ti 2.82-2.85, 2 Hf 2.90
Sb: 0.6474 0.1474 0.0000  6 Ti 2.82-2.85, 2 Hf 2.90
Sb: 0.1474 0.3526 0.0000  6 Ti 2.82-2.85, 2 Hf 2.90
Hf: 0.0000 0.0000 0.0000  4 Sb 2.90
Hf: 0.5000 0.5000 0.0000  4 Sb 2.90
Ti: 0.1474 0.6474 0.5000  6 Sb 2.82-2.85
Ti: 0.6474 0.8526 0.5000  6 Sb 2.82-2.85
Ti: 0.8526 0.3526 0.5000  6 Sb 2.82-2.85
Ti: 0.3526 0.1474 0.5000  6 Sb 2.82-2.85


VASP calculation (PBE-GGA) on a relaxed HfTi5Sb3 crystal.

Properties
V in Å³ per atom: 20.8
Crystal system: tetragonal
Formation energy from raw total energies in eV per atom: 0.07
M_tot in μB/f.u.: 0.002
N(E_F) in states/eV/f.u.: 11.994
Offset from the most stable computed form in eV/atom: 0.4347

a = 6.8145 Å, b = 6.8145 Å, c = 9.3896 Å
α = 111.28°, β = 111.28°, γ = 90.00°
Closest atoms and distances in Å follow each position.
Positions (direct):
Hf: 0.7500 0.2500 0.5000  8 Ti 2.78-3.07
Hf: 0.2500 0.7500 0.5000  8 Ti 2.78-3.07
Ti: 0.0843 0.5843 0.7054  3 Sb 2.68-2.93, 1 Hf 2.78
Ti: 0.6211 0.1211 0.7054  3 Sb 2.68-2.93, 1 Hf 2.78
Ti: 0.1211 0.0843 0.7054  3 Sb 2.68-2.93, 1 Hf 2.78
Ti: 0.5843 0.6211 0.7054  3 Sb 2.68-2.93, 1 Hf 2.78
Ti: 0.9157 0.4157 0.2946  3 Sb 2.68-2.93, 1 Hf 2.78
Ti: 0.3789 0.8789 0.2946  3 Sb 2.68-2.93, 1 Hf 2.78
Ti: 0.8789 0.9157 0.2946  3 Sb 2.68-2.93, 1 Hf 2.78
Ti: 0.4157 0.3789 0.2946  3 Sb 2.68-2.93, 1 Hf 2.78
Ti: 0.5000 0.5000 0.0000  4 Sb 2.63
Ti: 0.0000 0.0000 0.0000  4 Sb 2.63
Sb: 0.6396 0.1396 0.0000  4 Ti 2.63-2.68, 1 Sb 2.69
Sb: 0.3604 0.8604 0.0000  4 Ti 2.63-2.68, 1 Sb 2.69
Sb: 0.8604 0.6396 0.0000  4 Ti 2.63-2.68, 1 Sb 2.69
Sb: 0.1396 0.3604 0.0000  4 Ti 2.63-2.68, 1 Sb 2.69
Sb: 0.2500 0.2500 0.5000  8 Ti 2.93
Sb: 0.7500 0.7500 0.5000  8 Ti 2.93


VASP calculation (PBE-GGA) on a relaxed Hf3TiSb2 crystal.

Properties
V in Å³ per atom: 21.2
Crystal system: orthorhombic
Formation energy from raw total energies in eV per atom: -0.47
M_tot in μB/f.u.: 0.000
N(E_F) in states/eV/f.u.: 4.272
Offset from the most stable computed form in eV/atom: 0.0000

a = 3.9034 Å, b = 4.2150 Å, c = 8.2448 Å
α = 104.76°, β = 103.71°, γ = 90.00°
Closest atoms and distances in Å follow each position.
Positions (direct):
Hf: 0.5000 0.5000 0.0000  4 Ti 2.87, 4 Sb 2.98
Hf: 0.8245 0.3252 0.6496  5 Sb 2.92-2.94
Hf: 0.1755 0.6748 0.3504  5 Sb 2.92-2.94
Ti: 0.0000 0.0000 0.0000  4 Sb 2.87, 4 Hf 2.87
Sb: 0.3636 0.8643 0.7280  2 Ti 2.87, 7 Hf 2.92-2.98
Sb: 0.6364 0.1357 0.2720  2 Ti 2.87, 7 Hf 2.92-2.98


VASP calculation (PBE-GGA) on a relaxed Hf5Ti2Sb crystal.

Properties
V in Å³ per atom: 21.1
Crystal system: tetragonal
Formation energy from raw total energies in eV per atom: -0.07
M_tot in μB/f.u.: 0.001
N(E_F) in states/eV/f.u.: 8.088

a = 7.2326 Å, b = 7.2326 Å, c = 8.2363 Å
α = 116.04°, β = 116.04°, γ = 90.00°
Closest atoms and distances in Å follow each position.
Positions (direct):
Hf: 0.4967 0.6925 0.6892  3 Ti 2.91-2.92, 2 Sb 3.01, 2 Hf 3.11-3.16
Hf: 0.8075 0.0033 0.3108  3 Ti 2.91-2.92, 2 Sb 3.01, 2 Hf 3.11-3.16
Hf: 0.0000 0.0000 0.0000  4 Ti 2.79
Hf: 0.5000 0.5000 0.0000  4 Ti 2.79
Hf: 0.1925 0.9967 0.6892  3 Ti 2.91-2.92, 2 Sb 3.01, 2 Hf 3.11-3.16
Hf: 0.6925 0.1925 0.6892  3 Ti 2.91-2.92, 2 Sb 3.01, 2 Hf 3.11-3.16
Hf: 0.9967 0.4967 0.6892  3 Ti 2.91-2.92, 2 Sb 3.01, 2 Hf 3.11-3.16
Hf: 0.3075 0.8075 0.3108  3 Ti 2.91-2.92, 2 Sb 3.01, 2 Hf 3.11-3.16
Hf: 0.0033 0.5033 0.3108  3 Ti 2.91-2.92, 2 Sb 3.01, 2 Hf 3.11-3.16
Hf: 0.5033 0.3075 0.3108  3 Ti 2.91-2.92, 2 Sb 3.01, 2 Hf 3.11-3.16
Ti: 0.1413 0.3587 0.0000  8 Hf 2.79-2.92, 1 Ti 2.89
Ti: 0.6413 0.1413 0.0000  8 Hf 2.79-2.92, 1 Ti 2.89
Ti: 0.3587 0.8587 0.0000  8 Hf 2.79-2.92, 1 Ti 2.89
Ti: 0.8587 0.6413 0.0000  8 Hf 2.79-2.92, 1 Ti 2.89
Sb: 0.7500 0.7500 0.5000  10 Hf 3.01-3.23
Sb: 0.2500 0.2500 0.5000  10 Hf 3.01-3.23


VASP calculation (PBE-GGA) on a relaxed Hf2TiSb2 crystal.

Properties
V in Å³ per atom: 21.5
Crystal system: tetragonal
Formation energy from raw total energies in eV per atom: -0.38
M_tot in μB/f.u.: 0.000
N(E_F) in states/eV/f.u.: 2.920
Offset from the most stable computed form in eV/atom: 0.0437

a = 7.4548 Å, b = 7.4548 Å, c = 3.8759 Å
α = 90.00°, β = 90.00°, γ = 90.00°
Closest atoms and distances in Å follow each position.
Positions (direct):
Sb: 0.3514 0.8514 0.0000  2 Ti 2.84, 6 Hf 2.85-2.97, 1 Sb 3.13
Sb: 0.8514 0.6486 0.0000  2 Ti 2.84, 6 Hf 2.85-2.97, 1 Sb 3.13
Sb: 0.6486 0.1486 0.0000  2 Ti 2.84, 6 Hf 2.85-2.97, 1 Sb 3.13
Sb: 0.1486 0.3514 0.0000  2 Ti 2.84, 6 Hf 2.85-2.97, 1 Sb 3.13
Hf: 0.1532 0.6532 0.5000  6 Sb 2.85-2.97
Hf: 0.6532 0.8468 0.5000  6 Sb 2.85-2.97
Hf: 0.8468 0.3468 0.5000  6 Sb 2.85-2.97
Hf: 0.3468 0.1532 0.5000  6 Sb 2.85-2.97
Ti: 0.0000 0.0000 0.0000  4 Sb 2.84
Ti: 0.5000 0.5000 0.0000  4 Sb 2.84


VASP calculation (PBE-GGA) on a relaxed Hf2TiSb2 crystal.

Properties
V in Å³ per atom: 21.4
Crystal system: orthorhombic
Formation energy from raw total energies in eV per atom: -0.42
M_tot in μB/f.u.: 0.000
N(E_F) in states/eV/f.u.: 4.141
Offset from the most stable computed form in eV/atom: 0.0000

a = 4.7793 Å, b = 5.7437 Å, c = 8.1450 Å
α = 90.00°, β = 107.06°, γ = 90.00°
Closest atoms and distances in Å follow each position.
Positions (direct):
Hf: 0.9685 0.8259 0.9369  5 Sb 2.89-3.02, 3 Hf 3.04-3.07, 2 Ti 3.12
Hf: 0.8350 0.3615 0.6700  6 Sb 2.96-3.04, 2 Ti 3.02, 1 Hf 3.07
Hf: 0.1650 0.8615 0.3300  6 Sb 2.96-3.04, 2 Ti 3.02, 1 Hf 3.07
Hf: 0.0315 0.3259 0.0631  5 Sb 2.89-3.02, 3 Hf 3.04-3.07, 2 Ti 3.12
Ti: 0.3714 0.0545 0.7428  6 Sb 2.91-3.21, 4 Hf 3.02-3.12
Ti: 0.6286 0.5545 0.2572  6 Sb 2.91-3.21, 4 Hf 3.02-3.12
Sb: 0.4390 0.5272 0.8780  3 Ti 2.91-3.21, 6 Hf 2.98-3.04
Sb: 0.7836 0.8654 0.5672  5 Hf 2.89-3.02, 3 Ti 2.96-3.00
Sb: 0.2164 0.3654 0.4328  5 Hf 2.89-3.02, 3 Ti 2.96-3.00
Sb: 0.5610 0.0272 0.1220  3 Ti 2.91-3.21, 6 Hf 2.98-3.04


VASP calculation (PBE-GGA) on a relaxed HfTiSb4 crystal.

Properties
V in Å³ per atom: 28.1
Crystal system: monoclinic
Formation energy from raw total energies in eV per atom: -0.03
M_tot in μB/f.u.: 0.018
N(E_F) in states/eV/f.u.: 2.144

a = 6.9802 Å, b = 6.9398 Å, c = 6.9598 Å
α = 90.00°, β = 88.46°, γ = 90.00°
Closest atoms and distances in Å follow each position.
Positions (direct):
Hf: 0.0000 0.0000 0.0000  6 Sb 2.95-2.98
Hf: 0.5000 0.5000 0.0000  6 Sb 2.95-2.98
Ti: 0.5000 0.0000 0.5000  6 Sb 2.82-2.85
Ti: 0.0000 0.5000 0.5000  6 Sb 2.82-2.85
Sb: 0.8819 0.6116 0.1327  1 Ti 2.82, 1 Sb 2.89, 2 Hf 2.95-2.96
Sb: 0.6181 0.1116 0.8673  1 Ti 2.82, 1 Sb 2.89, 2 Hf 2.95-2.96
Sb: 0.3758 0.3727 0.3923  2 Ti 2.84-2.85, 1 Sb 2.92, 1 Hf 2.98
Sb: 0.1242 0.8727 0.6077  2 Ti 2.84-2.85, 1 Sb 2.92, 1 Hf 2.98
Sb: 0.1181 0.3884 0.8673  1 Ti 2.82, 1 Sb 2.89, 2 Hf 2.95-2.96
Sb: 0.3819 0.8884 0.1327  1 Ti 2.82, 1 Sb 2.89, 2 Hf 2.95-2.96
Sb: 0.6242 0.6273 0.6077  2 Ti 2.84-2.85, 1 Sb 2.92, 1 Hf 2.98
Sb: 0.8758 0.1273 0.3923  2 Ti 2.84-2.85, 1 Sb 2.92, 1 Hf 2.98


VASP calculation (PBE-GGA) on a relaxed Hf3TiSb6 crystal.

Properties
V in Å³ per atom: 24.2
Crystal system: monoclinic
Formation energy from raw total energies in eV per atom: -0.32
M_tot in μB/f.u.: 0.000
N(E_F) in states/eV/f.u.: 5.297

a = 3.7944 Å, b = 10.3427 Å, c = 12.5908 Å
α = 101.14°, β = 90.00°, γ = 90.00°
Closest atoms and distances in Å follow each position.
Positions (direct):
Hf: 0.7500 0.3310 0.8431  8 Sb 2.95-3.06
Hf: 0.2500 0.6690 0.1569  8 Sb 2.95-3.06
Hf: 0.7500 0.6631 0.5289  7 Sb 2.82-3.02
Hf: 0.2500 0.3369 0.4711  7 Sb 2.82-3.02
Hf: 0.7500 0.1504 0.0723  6 Sb 2.84-3.04
Hf: 0.2500 0.8496 0.9277  6 Sb 2.84-3.04
Ti: 0.7500 0.0215 0.6953  7 Sb 2.85-3.12
Ti: 0.2500 0.9785 0.3047  7 Sb 2.85-3.12
Sb: 0.7500 0.4596 0.6494  4 Hf 2.82-3.02, 2 Sb 3.14
Sb: 0.2500 0.5404 0.3506  4 Hf 2.82-3.02, 2 Sb 3.14
Sb: 0.7500 0.8782 0.1095  5 Hf 2.94-3.02, 2 Ti 3.12, 1 Sb 3.16
Sb: 0.2500 0.1218 0.8905  5 Hf 2.94-3.02, 2 Ti 3.12, 1 Sb 3.16
Sb: 0.7500 0.4471 0.0855  4 Hf 2.98-3.06, 2 Sb 3.21
Sb: 0.2500 0.5529 0.9145  4 Hf 2.98-3.06, 2 Sb 3.21
Sb: 0.7500 0.7766 0.3305  2 Ti 2.89, 3 Hf 2.95-2.96, 3 Sb 3.14-3.16
Sb: 0.2500 0.2234 0.6695  2 Ti 2.89, 3 Hf 2.95-2.96, 3 Sb 3.14-3.16
Sb: 0.7500 0.1151 0.4556  2 Ti 2.86, 2 Hf 2.95
Sb: 0.2500 0.8849 0.5444  2 Ti 2.86, 2 Hf 2.95
Sb: 0.7500 0.7717 0.7597  3 Hf 2.84-2.91, 1 Ti 2.85
Sb: 0.2500 0.2283 0.2403  3 Hf 2.84-2.91, 1 Ti 2.85


VASP calculation (PBE-GGA) on a relaxed Hf4Ti3Sb4 crystal.

Properties
V in Å³ per atom: 21.8
Crystal system: orthorhombic
Formation energy from raw total energies in eV per atom: -0.32
M_tot in μB/f.u.: 0.000
N(E_F) in states/eV/f.u.: 9.429

a = 3.7778 Å, b = 7.1093 Å, c = 9.2522 Å
α = 90.00°, β = 90.00°, γ = 105.41°
Closest atoms and distances in Å follow each position.
Positions (direct):
Hf: 0.6069 0.2139 0.5000  4 Sb 2.95-3.06, 4 Hf 3.02
Hf: 0.5909 0.1818 0.0000  4 Sb 2.94-3.08, 4 Hf 2.97, 2 Ti 3.08
Hf: 0.0804 0.1608 0.7523  4 Sb 2.95-3.11, 4 Hf 2.97-3.02, 2 Ti 3.06
Hf: 0.0804 0.1608 0.2477  4 Sb 2.95-3.11, 4 Hf 2.97-3.02, 2 Ti 3.06
Ti: 0.4056 0.8113 0.2693  6 Sb 2.89-3.14, 2 Hf 3.06, 1 Ti 3.12
Ti: 0.4056 0.8113 0.7307  6 Sb 2.89-3.14, 2 Hf 3.06, 1 Ti 3.12
Ti: 0.2685 0.5371 0.0000  6 Sb 2.88-2.94, 2 Hf 3.08, 2 Ti 3.12
Sb: 0.7456 0.4911 0.7590  4 Ti 2.91-2.94, 4 Hf 2.95-3.08
Sb: 0.7456 0.4911 0.2410  4 Ti 2.91-2.94, 4 Hf 2.95-3.08
Sb: 0.9419 0.8838 0.5000  4 Ti 2.89, 4 Hf 2.95-3.01
Sb: 0.9270 0.8540 0.0000  6 Ti 2.88-3.14, 4 Hf 2.94-3.11